The following is a PBE-GGA calculation of CePaPS after structural relaxation, from Alexandria via LeMat-Bulk.

Geometry as POSCAR:
```
CePaPS
1.0
-2.684 -1.998 3.544
-2.418 -4.153 -0.820
1.463 -4.134 2.130
P Pa Ce S
1 1 1 1
Cartesian
-1.819 -5.142 2.427
-0.910 -2.571 1.213
-2.729 -7.714 3.640
0.000 0.000 0.000
```

Values from the calculation:
The value obtained for the spin magnetization is 2.34 μB/cell. As for the offset from the most stable computed form: 0 meV/atom. As for the uncorrected formation energy: -1.226 eV per atom.

The following is a PBE-GGA calculation of Sm2CdTc after structural relaxation, from Alexandria via LeMat-Bulk.

Geometry as POSCAR:
```
Sm2CdTc
1.0
3.478 0.000 0.000
1.739 3.012 0.000
1.739 1.004 10.726
Cd Sm Tc
1 2 1
Cartesian
0.000 0.000 0.000
1.739 1.004 7.393
5.217 3.012 3.333
3.478 2.008 5.363
```

Values from the calculation:
The value obtained for the formation energy is 27.5 kJ/mol of atoms. The value obtained for the spin magnetization is 0.00 μB/cell.

Per-record E, eV/atom: -7.468 -4.894